# Pm3Si

An optimized crystal structure of Pm3Si (PBE-GGA, Alexandria).

It has space group Pm-3m (No. 221), with a = 4.747 Å, b = 4.747 Å, c = 4.747 Å, α = 90.00°, β = 90.00° and γ = 90.00°. The asymmetric unit holds Pm at (0.000, 0.000, 0.500) and Si at (0.500, 0.500, 0.500).

Its density is 7.19 Mg/m³. The relative energy among the computed polymorphs is 46 kJ/mol of formula units. The value obtained for the magnetic moment is 0.000 μB per cell. The calculated volume comes out at 26.74 Å³/atom.

=====

# Pm4Si

An optimized crystal structure of Pm4Si (PBE-GGA, Alexandria).

It has space group Ccce (No. 68, origin choice 2), with a = 6.973 Å, b = 13.377 Å, c = 6.807 Å, α = 90.00°, β = 90.00° and γ = 90.00°. The asymmetric unit holds Pm at (0.168, 0.128, 0.073) and Si at (0.000, 0.250, 0.750).

Its density is 6.36 Mg/m³. The relative energy among the computed polymorphs is 0 kJ/mol of formula units. The value obtained for the magnetic moment is 0.000 μB per cell. The calculated volume comes out at 31.75 Å³/atom.

=====

# PmSi3

An optimized crystal structure of PmSi3 (PBE-GGA, Alexandria).

It has space group I4/mmm (No. 139), with a = 4.030 Å, b = 4.030 Å, c = 9.335 Å, α = 90.00°, β = 90.00° and γ = 90.00°. The asymmetric unit holds Pm at (0.000, 0.000, 0.000), Si at (0.000, 0.000, 0.500) and Si at (0.000, 0.500, 0.250).

Its density is 5.02 Mg/m³. The relative energy among the computed polymorphs is 84 kJ/mol of formula units. The value obtained for the magnetic moment is 0.000 μB per cell. The calculated volume comes out at 18.95 Å³/atom.

=====

# Pm2Si3

An optimized crystal structure of Pm2Si3 (PBE-GGA, Alexandria).

It has space group Cmcm (No. 63), with a = 4.301 Å, b = 24.877 Å, c = 4.007 Å, α = 90.00°, β = 90.00° and γ = 90.00°. The asymmetric unit holds Pm at (0.000, 0.069, 0.250), Pm at (0.000, 0.202, 0.750), Si at (0.000, 0.325, 0.750), Si at (0.000, 0.381, 0.250) and Si at (0.000, 0.476, 0.250).

Its density is 5.80 Mg/m³. The relative energy among the computed polymorphs is 0 kJ/mol of formula units. The value obtained for the magnetic moment is 0.000 μB per cell. The calculated volume comes out at 21.44 Å³/atom.

=====

# PmSi

An optimized crystal structure of PmSi (PBE-GGA, Alexandria).

It has space group Pnma (No. 62), with a = 8.181 Å, b = 3.924 Å, c = 5.874 Å, α = 90.00°, β = 90.00° and γ = 90.00°. The asymmetric unit holds Pm at (0.180, 0.250, 0.114) and Si at (0.036, 0.250, 0.623).

Its density is 6.10 Mg/m³. The value obtained for the magnetic moment is 0.000 μB per cell. For the energy, the calculation gives -5.87 eV/atom. The calculated volume comes out at 23.57 Å³/atom.

=====

# Pm7Si5

An optimized crystal structure of Pm7Si5 (PBE-GGA, Alexandria).

It has space group C2/m (No. 12), with a = 13.953 Å, b = 4.164 Å, c = 12.366 Å, α = 90.00°, β = 105.85° and γ = 90.00°. The asymmetric unit holds Pm at (0.000, 0.000, 0.000), Pm at (0.044, 0.500, 0.283), Pm at (0.156, 0.000, 0.551), Pm at (0.239, 0.000, 0.855), Si at (0.000, 0.500, 0.500), Si at (0.117, 0.500, 0.925) and Si at (0.199, 0.000, 0.307).

Its density is 5.55 Mg/m³. The value obtained for the magnetic moment is 0.001 μB per cell. For the energy, the calculation gives -5.55 eV/atom. The calculated volume comes out at 28.79 Å³/atom.

=====

# PmSi

An optimized crystal structure of PmSi (PBE-GGA, Alexandria).

It has space group Fm-3m (No. 225), with a = 5.979 Å, b = 5.979 Å, c = 5.979 Å, α = 90.00°, β = 90.00° and γ = 90.00°. The asymmetric unit holds Pm at (0.000, 0.000, 0.000) and Si at (0.000, 0.000, 0.500).

Its density is 5.38 Mg/m³. The value obtained for the magnetic moment is 0.000 μB per cell. For the energy, the calculation gives -5.52 eV/atom. The calculated volume comes out at 26.72 Å³/atom.

=====

# Pm5Si4

An optimized crystal structure of Pm5Si4 (PBE-GGA, Alexandria).

It has space group C2/m (No. 12), with a = 10.941 Å, b = 4.415 Å, c = 9.927 Å, α = 90.00°, β = 112.07° and γ = 90.00°. The asymmetric unit holds Pm at (0.000, 0.000, 0.000), Pm at (0.104, 0.000, 0.392), Pm at (0.247, 0.000, 0.832), Si at (0.048, 0.500, 0.825) and Si at (0.112, 0.500, 0.608).

Its density is 6.26 Mg/m³. The relative energy among the computed polymorphs is 0 kJ/mol of formula units. The value obtained for the magnetic moment is 0.000 μB per cell. The calculated volume comes out at 24.68 Å³/atom.

=====

# Pm5Si2

An optimized crystal structure of Pm5Si2 (PBE-GGA, Alexandria).

It has space group C2/c (No. 15), with a = 15.883 Å, b = 6.470 Å, c = 7.997 Å, α = 90.00°, β = 97.70° and γ = 90.00°. The asymmetric unit holds Pm at (0.000, 0.110, 0.250), Pm at (0.092, 0.376, 0.925), Pm at (0.222, 0.095, 0.312) and Si at (0.105, 0.194, 0.583).

Its density is 6.37 Mg/m³. The value obtained for the magnetic moment is 0.005 μB per cell. For the energy, the calculation gives -5.37 eV/atom. The calculated volume comes out at 29.08 Å³/atom.

=====

# PmSi4

An optimized crystal structure of PmSi4 (PBE-GGA, Alexandria).

It has space group Pm-3m (No. 221), with a = 5.325 Å, b = 5.325 Å, c = 5.325 Å, α = 90.00°, β = 90.00° and γ = 90.00°. The asymmetric unit holds Pm at (0.000, 0.000, 0.000), Si at (0.000, 0.000, 0.500) and Si at (0.500, 0.500, 0.500).

Its density is 2.83 Mg/m³. The value obtained for the magnetic moment is 0.000 μB per cell. For the energy, the calculation gives -3.73 eV/atom. The calculated volume comes out at 30.20 Å³/atom.

=====

# PmSi3

An optimized crystal structure of PmSi3 (PBE-GGA, Alexandria).

It has space group Pmm2 (No. 25), with a = 4.007 Å, b = 4.090 Å, c = 4.806 Å, α = 90.00°, β = 90.00° and γ = 90.00°. The asymmetric unit holds Pm at (0.000, 0.000, 0.000), Si at (0.000, 0.500, 0.522), Si at (0.500, 0.000, 0.516) and Si at (0.500, 0.500, 0.216).

Its density is 4.83 Mg/m³. The relative energy among the computed polymorphs is 3 kJ/mol of formula units. The value obtained for the magnetic moment is 0.000 μB per cell. The calculated volume comes out at 19.69 Å³/atom.

=====

# Pm5Si3

An optimized crystal structure of Pm5Si3 (PBE-GGA, Alexandria).

It has space group Cmmm (No. 65), with a = 7.926 Å, b = 11.289 Å, c = 4.743 Å, α = 90.00°, β = 90.00° and γ = 90.00°. The asymmetric unit holds Pm at (0.000, 0.000, 0.000), Pm at (0.209, 0.500, 0.500), Pm at (0.250, 0.250, 0.000), Si at (0.000, 0.188, 0.500) and Si at (0.000, 0.500, 0.000).

Its density is 6.33 Mg/m³. The relative energy among the computed polymorphs is 123 kJ/mol of formula units. The value obtained for the magnetic moment is 0.000 μB per cell. The calculated volume comes out at 26.52 Å³/atom.